Entry 1:
A plane-wave DFT calculation with PBE-GGA was carried out for an optimized crystal structure of CsHfTaOs2.

POSCAR file:
```
CsHfTaOs2
1.0
5.013 0.000 0.000
0.000 5.165 0.000
0.000 0.000 5.013
Cs Hf Os Ta
1 1 2 1
direct
0.500 0.500 0.500
0.000 0.000 0.000
0.000 0.000 0.500
0.500 0.000 0.000
0.000 0.500 0.000
```

Energy above the most stable polymorph in this dataset ... 0.000 eV per atom
Energy relative to the elements ... 2.222 eV/atom

***

Entry 2:
A plane-wave DFT calculation with PBE-GGA was carried out for an optimized crystal structure of CsHfP2.

POSCAR file:
```
CsHfP2
1.0
-5.937 -1.506 2.226
2.672 -2.732 5.279
-1.955 4.307 7.241
Cs P Hf
2 4 2
direct
0.500 0.500 0.000
0.250 0.750 0.500
0.875 0.125 0.250
0.875 0.625 0.250
0.375 0.125 0.750
0.875 0.125 0.750
0.000 0.000 0.000
0.750 0.250 0.500
```

Energy above the most stable polymorph in this dataset ... 0.000 eV per atom
Energy relative to the elements ... -0.426 eV/atom

***

Entry 3:
A plane-wave DFT calculation with PBE-GGA was carried out for an optimized crystal structure of Cs2HfP2.

POSCAR file:
```
Cs2HfP2
1.0
6.017 0.000 0.000
0.000 6.017 0.000
3.009 3.009 4.935
Cs P Hf
2 2 1
direct
0.343 0.343 0.315
0.657 0.657 0.685
0.750 0.250 0.500
0.250 0.750 0.500
0.000 0.000 0.000
```

Energy relative to the elements ... 1.414 eV/atom

***

Entry 4:
A plane-wave DFT calculation with PBE-GGA was carried out for an optimized crystal structure of CsHfP2.

POSCAR file:
```
CsHfP2
1.0
0.000 3.556 3.556
3.556 0.000 3.556
3.556 3.556 0.000
Cs P Hf
1 2 1
direct
0.000 0.000 0.000
0.250 0.250 0.250
0.750 0.750 0.750
0.500 0.500 0.500
```

Energy above the most stable polymorph in this dataset ... 0.828 eV per atom
Energy relative to the elements ... 0.403 eV/atom

***

Entry 5:
A plane-wave DFT calculation with PBE-GGA was carried out for an optimized crystal structure of CsHfP2Pb.

POSCAR file:
```
CsHfP2Pb
1.0
-0.277 3.815 3.643
-4.632 -2.777 2.557
3.326 -2.706 3.086
Pb Cs Hf P
1 1 1 2
direct
0.000 0.500 0.000
0.000 0.000 0.000
0.500 0.500 0.500
0.000 0.000 0.500
0.500 0.000 0.000
```

Energy relative to the elements ... 2.042 eV/atom

***

Entry 6:
A plane-wave DFT calculation with PBE-GGA was carried out for an optimized crystal structure of CsHfP2S.

POSCAR file:
```
CsHfP2S
1.0
5.129 0.000 0.000
0.000 5.129 0.000
0.000 0.000 5.107
Cs P S Hf
1 2 1 1
direct
0.500 0.500 0.500
0.000 0.500 0.000
0.500 0.000 0.000
0.000 0.000 0.500
0.000 0.000 0.000
```

Formation energy (no corrections) ... -0.417 eV per atom
Energy above the most stable polymorph in this dataset ... 0.000 eV per atom

***

Entry 7:
A plane-wave DFT calculation with PBE-GGA was carried out for an optimized crystal structure of Cs3Hf2P5S18.

POSCAR file:
```
Cs3Hf2P5S18
1.0
-4.667 -2.824 4.437
5.250 -0.810 4.608
-6.812 32.688 9.986
Cs Hf P S
6 4 10 36
direct
0.452 0.145 0.254
0.145 0.452 0.754
0.494 0.272 0.068
0.272 0.494 0.568
0.746 0.995 0.865
0.995 0.746 0.365
0.027 0.841 0.154
0.841 0.027 0.654
0.020 0.644 0.965
0.644 0.020 0.465
0.159 0.652 0.235
0.652 0.159 0.735
0.945 0.297 0.172
0.297 0.945 0.672
0.050 0.765 0.059
0.765 0.050 0.559
0.559 0.544 0.946
0.544 0.559 0.446
0.219 0.711 0.883
0.711 0.219 0.383
0.306 0.657 0.286
0.657 0.306 0.786
0.962 0.854 0.226
0.854 0.962 0.726
0.310 0.666 0.187
0.666 0.310 0.687
0.997 0.381 0.232
0.381 0.997 0.732
0.741 0.083 0.169
0.083 0.741 0.669
0.188 0.179 0.154
0.179 0.188 0.654
0.844 0.512 0.141
0.512 0.844 0.641
0.268 0.758 0.101
0.758 0.268 0.601
0.831 0.871 0.089
0.871 0.831 0.589
0.979 0.502 0.031
0.502 0.979 0.531
0.119 0.928 0.015
0.928 0.119 0.515
0.760 0.345 0.950
0.345 0.760 0.450
0.692 0.800 0.965
0.800 0.692 0.465
0.335 0.465 0.977
0.465 0.335 0.477
0.478 0.552 0.886
0.552 0.478 0.386
0.215 0.899 0.930
0.899 0.215 0.430
0.000 0.524 0.892
0.524 0.000 0.392
0.224 0.821 0.832
0.821 0.224 0.332
```

Formation energy (no corrections) ... -0.814 eV per atom

***

Entry 8:
A plane-wave DFT calculation with PBE-GGA was carried out for an optimized crystal structure of Cs2HfPS6.

POSCAR file:
```
Cs2HfPS6
1.0
-4.013 -1.214 4.282
5.212 -3.987 3.754
-0.797 7.396 1.350
Cs Hf P S
2 1 1 6
direct
0.238 0.333 0.667
0.762 0.667 0.333
0.500 0.000 0.000
0.000 0.000 0.000
0.784 0.143 0.285
0.784 0.143 0.857
0.784 0.715 0.857
0.216 0.857 0.143
0.216 0.285 0.143
0.216 0.857 0.715
```

Formation energy (no corrections) ... -0.822 eV per atom

***

Entry 9:
A plane-wave DFT calculation with PBE-GGA was carried out for an optimized crystal structure of CsHfP2S8.

POSCAR file:
```
CsHfP2S8
1.0
6.144 0.000 0.000
-3.072 5.321 0.000
0.000 0.000 9.805
Cs Hf P S
1 1 2 8
direct
0.000 0.000 0.000
0.000 0.000 0.500
0.667 0.333 0.291
0.333 0.667 0.709
0.333 0.667 0.914
0.345 0.338 0.352
0.662 0.007 0.352
0.667 0.333 0.086
0.338 0.993 0.648
0.655 0.662 0.648
0.007 0.345 0.648
0.993 0.655 0.352
```

Formation energy (no corrections) ... -0.594 eV per atom

***

Entry 10:
A plane-wave DFT calculation with PBE-GGA was carried out for an optimized crystal structure of CsHfP2S.

POSCAR file:
```
CsHfP2S
1.0
-3.153 2.607 3.375
-3.442 -4.034 -0.100
2.379 -2.126 3.865
Cs P S Hf
1 2 1 1
direct
0.000 0.000 0.000
0.000 0.500 0.000
0.500 0.000 0.000
0.000 0.000 0.500
0.500 0.500 0.500
```

Formation energy (no corrections) ... 1.883 eV per atom
Energy above the most stable polymorph in this dataset ... 2.300 eV per atom

***

Entry 11:
A plane-wave DFT calculation with PBE-GGA was carried out for an optimized crystal structure of CsHfP2Se8.

POSCAR file:
```
CsHfP2Se8
1.0
-2.292 5.991 0.870
-2.961 3.071 -4.868
-10.797 -0.882 1.708
Cs Hf P Se
1 1 2 8
direct
0.500 0.500 0.500
0.000 0.000 0.000
0.265 0.265 0.206
0.735 0.735 0.794
0.195 0.195 0.416
0.613 0.304 0.143
0.805 0.805 0.584
0.941 0.613 0.143
0.059 0.387 0.857
0.304 0.941 0.143
0.696 0.059 0.857
0.387 0.696 0.857
```

Formation energy (no corrections) ... -0.451 eV per atom

***

Entry 12:
A plane-wave DFT calculation with PBE-GGA was carried out for an optimized crystal structure of CsHfPSe6.

POSCAR file:
```
CsHfPSe6
1.0
6.352 0.000 0.000
3.176 5.501 0.000
0.000 0.000 8.818
Cs Hf P Se
1 1 1 6
direct
0.000 0.000 0.000
0.667 0.667 0.500
0.333 0.333 0.500
0.022 0.347 0.329
0.347 0.022 0.671
0.631 0.347 0.671
0.022 0.631 0.671
0.347 0.631 0.329
0.631 0.022 0.329
```

Formation energy (no corrections) ... -0.444 eV per atom

***

no.,energy (eV per cell)
1,-34.0
2,-46.7
3,-15.4
4,-20.0
5,-15.1
6,-27.8
7,-293.2
8,-50.1
9,-61.8
10,-16.3
11,-54.9
12,-41.1